VASP calculation (PBE) on TaReP2S after structural relaxation.

Cell and atoms, written as POSCAR:
```
TaReP2S
1.0
-0.786 -2.657 4.011
-0.423 -4.010 -2.739
4.537 -0.747 0.394
P Re S Ta
2 1 1 1
Cartesian
-0.393 -1.328 2.006
-0.212 -2.005 -1.370
1.664 -3.707 0.833
2.268 -0.374 0.197
0.000 0.000 0.000
```

calculated volume	109.7	Å³/cell
total magnetization	4.2	μB per formula unit
offset from the most stable computed form	0.46	eV/f.u.
final energy	-6.707	eV/atom
ΔE_f (raw)	1.14	eV/atom
theoretical density	7.0	g/cm³